P) ## YMnP3 (GGA-PBE)

Data for crystalline YMnP3 at its relaxed geometry.

extended XYZ file:
```
5
Lattice="5.197 0.000 0.000 0.000 5.197 0.000 0.000 0.000 5.197" Properties=species:S:1:pos:R:3 pbc="T T T"
P 2.598 0.000 0.000
P 0.000 2.598 0.000
P 0.000 0.000 2.598
Mn 2.598 2.598 2.598
Y 0.000 0.000 0.000
```

* space group: Pm-3m
* size of the total moment: 4.1 μB/f.u.

***

Q) ## YMnP3 (GGA-PBE)

Data for crystalline YMnP3 at its relaxed geometry.

extended XYZ file:
```
5
Lattice="4.520 0.000 0.000 0.000 4.520 0.000 0.000 0.000 4.520" Properties=species:S:1:pos:R:3 pbc="T T T"
Y 2.260 2.260 2.260
P 0.000 0.000 2.260
P 0.000 2.260 0.000
P 2.260 0.000 0.000
Mn 0.000 0.000 0.000
```

* space group: Pm-3m
* size of the total moment: 2.5 μB/f.u.

***

So which one is most stable? That would be Q), about 107.1 kJ/mol of atoms below the next structure.

***

P) ## Mn2ZnP (GGA-PBE)

Data for crystalline Mn2ZnP at its relaxed geometry.

extended XYZ file:
```
4
Lattice="-1.574 1.974 -1.314 -1.956 -1.973 -0.621 -2.926 1.221 5.340" Properties=species:S:1:pos:R:3 pbc="T T T"
Mn -2.580 0.341 0.520
Mn -0.048 0.020 0.087
P -1.327 0.554 2.421
Zn -3.965 0.918 3.046
```

* space group: P4mm
* size of the total moment: 1.7 μB/f.u.

***

Q) ## Mn2ZnP (GGA-PBE)

Data for crystalline Mn2ZnP at its relaxed geometry.

extended XYZ file:
```
4
Lattice="4.302 0.010 -0.146 -0.985 4.188 -0.146 0.093 0.117 2.748" Properties=species:S:1:pos:R:3 pbc="T T T"
Mn 0.000 0.000 0.000
Mn 1.658 2.099 -0.146
P 2.197 0.063 1.301
Zn -0.446 2.152 1.301
```

* space group: Cmmm
* size of the total moment: 4.9 μB/f.u.

***

R) ## Mn2ZnP (GGA-PBE)

Data for crystalline Mn2ZnP at its relaxed geometry.

extended XYZ file:
```
8
Lattice="-1.431 1.214 -3.080 -1.641 -3.175 -0.489 -8.203 1.818 2.416" Properties=species:S:1:pos:R:3 pbc="T T T"
Zn 0.000 0.000 0.000
Zn -5.585 1.026 -1.224
Mn -7.459 0.329 0.427
Mn -3.390 -1.264 -0.377
Mn -3.015 0.702 -1.092
Mn -8.686 -0.053 -1.265
P -1.536 -0.980 -1.785
P -5.690 -1.169 0.071
```

* space group: I-42d
* size of the total moment: 0.0 μB/f.u.

***

So which one is most stable? That would be P), about 3.6 kJ/mol of atoms below the next structure.

***

P) ## Mn2ZnP (GGA-PBE)

Data for crystalline Mn2ZnP at its relaxed geometry.

extended XYZ file:
```
4
Lattice="5.023 -0.394 0.008 2.934 4.096 -0.008 -3.735 -2.373 2.408" Properties=species:S:1:pos:R:3 pbc="T T T"
Zn 1.756 1.865 1.200
Mn 7.930 3.689 0.000
Mn 2.333 -0.598 1.208
P 4.138 1.925 0.000
```

* space group: Imm2
* size of the total moment: 5.1 μB/f.u.

***

Q) ## Mn2ZnP (GGA-PBE)

Data for crystalline Mn2ZnP at its relaxed geometry.

extended XYZ file:
```
4
Lattice="-0.029 -3.783 1.504 3.242 0.889 2.297 -1.697 0.837 2.072" Properties=species:S:1:pos:R:3 pbc="T T T"
Mn 0.000 0.000 0.000
Mn 1.607 -1.447 1.901
Zn 0.772 0.863 2.184
P -0.863 -1.473 1.788
```

* space group: P4/mmm
* size of the total moment: 2.8 μB/f.u.

***

R) ## Mn2ZnP (GGA-PBE)

Data for crystalline Mn2ZnP at its relaxed geometry.

extended XYZ file:
```
4
Lattice="-0.705 -1.111 -3.892 0.294 -3.949 -1.094 -3.385 -2.127 -0.948" Properties=species:S:1:pos:R:3 pbc="T T T"
Mn 0.000 0.000 0.000
Mn -0.949 -1.797 -1.484
Zn -2.846 -5.390 -4.451
P -1.897 -3.593 -2.967
```

* space group: F-43m
* size of the total moment: 2.6 μB/f.u.

***

S) ## Mn2ZnP (GGA-PBE)

Data for crystalline Mn2ZnP at its relaxed geometry.

extended XYZ file:
```
4
Lattice="-0.250 -3.209 0.469 2.686 -0.146 0.435 1.088 0.753 5.732" Properties=species:S:1:pos:R:3 pbc="T T T"
P 0.819 -1.452 1.776
Zn 2.705 -1.149 4.860
Mn 1.730 0.288 2.892
Mn 0.157 0.016 0.192
```

* space group: P2/m
* size of the total moment: 3.7 μB/f.u.

***

So which one is most stable? That would be S), about 5.9 kJ/mol of atoms below the next structure.

***

P) ## Mn2ZnP (GGA-PBE)

Data for crystalline Mn2ZnP at its relaxed geometry.

extended XYZ file:
```
4
Lattice="7.890 0.006 0.004 7.436 2.637 0.004 7.436 1.282 2.304" Properties=species:S:1:pos:R:3 pbc="T T T"
P 5.690 0.981 0.578
Mn 11.583 1.998 1.176
Mn 22.559 3.891 2.291
Zn 17.071 2.944 1.734
```

* space group: R-3m
* size of the total moment: 1.6 μB/f.u.

***

Q) ## Mn2ZnP (GGA-PBE)

Data for crystalline Mn2ZnP at its relaxed geometry.

extended XYZ file:
```
4
Lattice="-2.610 1.726 7.603 -4.795 0.484 6.661 -2.771 -0.952 7.682" Properties=species:S:1:pos:R:3 pbc="T T T"
Mn -2.519 0.311 5.434
Mn -10.108 1.249 21.800
Zn -7.600 0.939 16.391
P -5.213 0.644 11.244
```

* space group: R3m
* size of the total moment: 1.4 μB/f.u.

***

So which one is most stable? That would be P), about 10.8 kJ/mol of atoms below the next structure.